# Ba2CuN2 PBE-GGA relaxed
data_Ba2CuN2
_chemical_formula_sum 'Ba4 Cu2 N4'
_cell_length_a 4.104
_cell_length_b 4.104
_cell_length_c 13.090
_cell_angle_alpha 90.00
_cell_angle_beta 90.00
_cell_angle_gamma 90.00
_symmetry_space_group_name_H-M 'I 4/m m m'
_symmetry_Int_Tables_number 139
_symmetry_space_group_name_Hall '-I 4 2'
loop_
_atom_site_label
_atom_site_fract_x
_atom_site_fract_y
_atom_site_fract_z
Ba1 0.000 0.000 0.150
Cu1 0.000 0.000 0.500
N1 0.000 0.000 0.362
# VASP energy in eV per atom: -5.2233
# Raw formation energy in eV/atom: -0.3048